Entry 1:
Below is a relaxed structure of Sb2PSe, with properties calculated at the PBEsol level.

Space group   Cmmm
Energy relative to the lowest polymorph listed for this composition   98 meV/atom

abc: 5.0080 5.0080 3.9894
angles: 90.00 90.00 107.90
With the nearest neighbours (Å) after each atom.
Sites, in units of the cell vectors:
Sb 0.2331 0.7669 0.0000  2 P 2.75, 2 Se 2.94, 2 Sb 2.96
Sb 0.7669 0.2331 0.0000  2 P 2.75, 2 Se 2.94, 2 Sb 2.96
P 0.0000 0.0000 0.5000  4 Sb 2.75, 2 Se 2.95
Se 0.5000 0.5000 0.5000  4 Sb 2.94, 2 P 2.95

Entry 2:
Below is a relaxed structure of Sb2P3Se9, with properties calculated at the PBEsol level.

Space group   P2_1/c

abc: 9.3097 7.4143 22.6632
angles: 90.00 113.20 90.00
With the nearest neighbours (Å) after each atom.
Sites, in units of the cell vectors:
Sb 0.0638 0.0755 0.3379  4 Se 2.74-3.02
Sb 0.0638 0.4245 0.8379  4 Se 2.74-3.02
Sb 0.3858 0.1998 0.6484  3 Se 2.70-2.81
Sb 0.3858 0.3002 0.1484  3 Se 2.70-2.81
Sb 0.6142 0.6998 0.8516  3 Se 2.70-2.81
Sb 0.6142 0.8002 0.3516  3 Se 2.70-2.81
Sb 0.9362 0.5755 0.1621  4 Se 2.74-3.02
Sb 0.9362 0.9245 0.6621  4 Se 2.74-3.02
P 0.0720 0.0554 0.1457  3 Se 2.20-2.22, 1 P 2.24
P 0.0720 0.4446 0.6457  3 Se 2.20-2.22, 1 P 2.24
P 0.2501 0.6626 0.6876  3 Se 2.19-2.24, 1 P 2.24
P 0.2501 0.8374 0.1876  3 Se 2.19-2.24, 1 P 2.24
P 0.4260 0.5571 0.9518  3 Se 2.18-2.22, 1 P 2.24
P 0.4260 0.9429 0.4518  3 Se 2.18-2.22, 1 P 2.24
P 0.5740 0.0571 0.5482  3 Se 2.18-2.22, 1 P 2.24
P 0.5740 0.4429 0.0482  3 Se 2.18-2.22, 1 P 2.24
P 0.7499 0.1626 0.8124  3 Se 2.19-2.24, 1 P 2.24
P 0.7499 0.3374 0.3124  3 Se 2.19-2.24, 1 P 2.24
P 0.9280 0.5554 0.3543  3 Se 2.20-2.22, 1 P 2.24
P 0.9280 0.9446 0.8543  3 Se 2.20-2.22, 1 P 2.24
Se 0.1253 0.1447 0.0628  1 P 2.22
Se 0.1253 0.3553 0.5628  1 P 2.22
Se 0.1537 0.2375 0.7211  1 P 2.20
Se 0.1537 0.2625 0.2211  1 P 2.20
Se 0.1574 0.6331 0.1090  1 P 2.24
Se 0.1574 0.8669 0.6090  1 P 2.24
Se 0.1586 0.0702 0.8781  1 P 2.20
Se 0.1586 0.4298 0.3781  1 P 2.20
Se 0.1920 0.5973 0.9540  1 P 2.22
Se 0.1920 0.9027 0.4540  1 P 2.22
Se 0.2260 0.7313 0.2735  1 P 2.19
Se 0.2260 0.7687 0.7735  1 P 2.19
Se 0.4292 0.1365 0.3798  1 P 2.18
Se 0.4292 0.3635 0.8798  1 P 2.18
Se 0.4602 0.1830 0.0507  1 P 2.21
Se 0.4602 0.3170 0.5507  1 P 2.21
Se 0.4813 0.5401 0.7043  1 P 2.23
Se 0.4813 0.9599 0.2043  1 P 2.23
Se 0.5187 0.0401 0.7957  1 P 2.23
Se 0.5187 0.4599 0.2957  1 P 2.23
Se 0.5398 0.6830 0.4493  1 P 2.21
Se 0.5398 0.8170 0.9493  1 P 2.21
Se 0.5708 0.6365 0.1202  1 P 2.18
Se 0.5708 0.8635 0.6202  1 P 2.18
Se 0.7740 0.2313 0.2265  1 P 2.19
Se 0.7740 0.2687 0.7265  1 P 2.19
Se 0.8080 0.0973 0.5460  1 P 2.22
Se 0.8080 0.4027 0.0460  1 P 2.22
Se 0.8414 0.5702 0.6219  1 P 2.20
Se 0.8414 0.9298 0.1219  1 P 2.20
Se 0.8426 0.1331 0.3910  1 P 2.24
Se 0.8426 0.3669 0.8910  1 P 2.24
Se 0.8463 0.7375 0.7789  1 P 2.20
Se 0.8463 0.7625 0.2789  1 P 2.20
Se 0.8747 0.6447 0.4372  1 P 2.22
Se 0.8747 0.8553 0.9372  1 P 2.22

Entry 3:
Below is a relaxed structure of SbP2Se, with properties calculated at the PBEsol level.

Space group   C2/m
Energy relative to the lowest polymorph listed for this composition   0 meV/atom

abc: 6.0905 6.0905 4.4090
angles: 98.41 98.41 32.91
With the nearest neighbours (Å) after each atom.
Sites, in units of the cell vectors:
Sb 0.0000 0.0000 0.0000  2 P 2.74, 4 Se 2.80
P 0.2364 0.2364 0.1553  2 P 2.25
P 0.7636 0.7636 0.8447  2 P 2.25
Se 0.5000 0.5000 0.5000  4 Sb 2.80

Entry 4:
Below is a relaxed structure of Sb2PSe, with properties calculated at the PBEsol level.

Space group   Pm
Energy relative to the lowest polymorph listed for this composition   12 meV/atom

abc: 4.4445 3.7768 5.9664
angles: 90.00 104.41 90.00
With the nearest neighbours (Å) after each atom.
Sites, in units of the cell vectors:
Sb 0.0000 0.0000 0.0000  2 P 2.60
Sb 0.4616 0.5000 0.4909  1 P 2.59
P 0.5843 0.5000 0.9382  3 Sb 2.59-2.60
Se 0.9654 0.0000 0.5033  6 Sb 2.92-3.04

Entry 5:
Below is a relaxed structure of SbPSe3, with properties calculated at the PBEsol level.

Space group   Pnma

abc: 9.1573 3.7671 13.5584
angles: 90.00 90.00 90.00
With the nearest neighbours (Å) after each atom.
Sites, in units of the cell vectors:
Sb 0.0265 0.2500 0.1396  3 Se 2.66-2.73
Sb 0.4735 0.7500 0.6396  3 Se 2.66-2.73
Sb 0.5265 0.2500 0.3604  3 Se 2.66-2.73
Sb 0.9735 0.7500 0.8604  3 Se 2.66-2.73
P 0.1448 0.2500 0.5540  6 Se 2.49-2.73
P 0.3552 0.7500 0.0540  6 Se 2.49-2.73
P 0.6448 0.2500 0.9460  6 Se 2.49-2.73
P 0.8552 0.7500 0.4460  6 Se 2.49-2.73
Se 0.0071 0.2500 0.3841  3 P 2.49-2.63
Se 0.1769 0.2500 0.9722  1 Sb 2.66, 2 P 2.73
Se 0.2139 0.7500 0.2123  1 P 2.51, 2 Sb 2.73
Se 0.2861 0.2500 0.7123  1 P 2.51, 2 Sb 2.73
Se 0.3231 0.7500 0.4722  1 Sb 2.66, 2 P 2.73
Se 0.4929 0.7500 0.8841  3 P 2.49-2.63
Se 0.5071 0.2500 0.1159  3 P 2.49-2.63
Se 0.6769 0.2500 0.5278  1 Sb 2.66, 2 P 2.73
Se 0.7139 0.7500 0.2877  1 P 2.51, 2 Sb 2.73
Se 0.7861 0.2500 0.7877  1 P 2.51, 2 Sb 2.73
Se 0.8231 0.7500 0.0278  1 Sb 2.66, 2 P 2.73
Se 0.9929 0.7500 0.6159  3 P 2.49-2.63

Entry 6:
Below is a relaxed structure of Sb2PSe, with properties calculated at the PBEsol level.

Space group   Fm-3m
Energy relative to the lowest polymorph listed for this composition   232 meV/atom

abc: 4.9285 4.9285 4.9285
angles: 60.00 60.00 60.00
With the nearest neighbours (Å) after each atom.
Sites, in units of the cell vectors:
Sb 0.2500 0.2500 0.2500  4 Se 3.02, 4 P 3.02
Sb 0.7500 0.7500 0.7500  4 Se 3.02, 4 P 3.02
P 0.0000 0.0000 0.0000  8 Sb 3.02
Se 0.5000 0.5000 0.5000  8 Sb 3.02

Entry 7:
Below is a relaxed structure of Sb2PSe, with properties calculated at the PBEsol level.

Space group   C2/m
Energy relative to the lowest polymorph listed for this composition   0 meV/atom

abc: 3.9208 3.9208 7.2121
angles: 107.97 107.97 64.77
With the nearest neighbours (Å) after each atom.
Sites, in units of the cell vectors:
Sb 0.2416 0.2416 0.2289  3 P 2.78-2.79, 3 Se 2.94-2.95
Sb 0.7584 0.7584 0.7711  3 P 2.78-2.79, 3 Se 2.94-2.95
P 0.5000 0.5000 0.0000  6 Sb 2.78-2.79
Se 0.0000 0.0000 0.5000  6 Sb 2.94-2.95

Entry 8:
Below is a relaxed structure of SiSbP2, with properties calculated at the PBEsol level.

Space group   I-42d
Energy relative to the lowest polymorph listed for this composition   0 meV/atom

abc: 6.0271 6.0271 6.0271
angles: 115.31 115.31 98.34
With the nearest neighbours (Å) after each atom.
Sites, in units of the cell vectors:
Si 0.0000 0.0000 0.0000  4 P 2.26
Si 0.7500 0.2500 0.5000  4 P 2.26
Sb 0.2500 0.7500 0.5000  4 P 2.74
Sb 0.5000 0.5000 0.0000  4 P 2.74
P 0.0683 0.6250 0.9433  2 Si 2.26
P 0.3750 0.3183 0.4433  2 Si 2.26
P 0.6817 0.1250 0.0567  2 Si 2.26
P 0.8750 0.9317 0.5567  2 Si 2.26

Entry 9:
Below is a relaxed structure of SiSbP2, with properties calculated at the PBEsol level.

Space group   Pmmm
Energy relative to the lowest polymorph listed for this composition   397 meV/atom

abc: 3.3243 4.5308 4.6115
angles: 90.00 90.00 90.00
With the nearest neighbours (Å) after each atom.
Sites, in units of the cell vectors:
Si 0.0000 0.0000 0.0000  4 P 2.81, 4 Sb 2.84
Sb 0.5000 0.0000 0.5000  4 P 2.81, 4 Si 2.84
P 0.0000 0.5000 0.5000  4 Sb 2.81, 4 P 2.84
P 0.5000 0.5000 0.0000  4 Si 2.81, 4 P 2.84

Entry 10:
Below is a relaxed structure of SiSbP2, with properties calculated at the PBEsol level.

Space group   I-4m2
Energy relative to the lowest polymorph listed for this composition   383 meV/atom

abc: 5.7960 5.7960 5.7960
angles: 142.32 142.32 54.34
With the nearest neighbours (Å) after each atom.
Sites, in units of the cell vectors:
Si 0.0000 0.0000 0.0000  4 P 2.65
Sb 0.2500 0.7500 0.5000  4 P 2.65
P 0.5000 0.5000 0.0000  4 Si 2.65
P 0.7500 0.2500 0.5000  4 Sb 2.65

Entry 11:
Below is a relaxed structure of SiSb4P, with properties calculated at the PBEsol level.

Space group   F-43m

abc: 6.0020 6.0020 6.0020
angles: 60.00 60.00 60.00
With the nearest neighbours (Å) after each atom.
Sites, in units of the cell vectors:
Si 0.0000 0.0000 0.0000  12 Sb 3.52, 4 P 3.68
Sb 0.1262 0.6246 0.6246  6 Sb 2.99-3.01
Sb 0.6246 0.1262 0.6246  6 Sb 2.99-3.01
Sb 0.6246 0.6246 0.1262  6 Sb 2.99-3.01
Sb 0.6246 0.6246 0.6246  6 Sb 2.99-3.01
P 0.2500 0.2500 0.2500  12 Sb 3.52, 4 Si 3.68

Entry 12:
Below is a relaxed structure of TaSiSbP2, with properties calculated at the PBEsol level.

Space group   P4/mmm

abc: 4.8361 4.8361 4.8346
angles: 90.00 90.00 90.00
With the nearest neighbours (Å) after each atom.
Sites, in units of the cell vectors:
Ta 0.0000 0.0000 0.0000  8 P 3.42, 4 Si 3.42
Si 0.5000 0.5000 0.0000  2 Sb 2.42
Sb 0.5000 0.5000 0.5000  2 Si 2.42, 4 P 2.42
P 0.0000 0.5000 0.5000  2 Sb 2.42
P 0.5000 0.0000 0.5000  2 Sb 2.42

no.,formation energy without anion corrections (eV per atom)
1,0.0903
2,-0.1262
3,0.1054
4,0.0050
5,-0.1200
6,0.2248
7,-0.0072
8,0.1717
9,0.5691
10,0.5550
11,0.8521
12,1.7525